1.
Here is crystalline PmEr2Au at its relaxed geometry from Alexandria. Energies are from PBE-GGA.

abc: 3.7440 3.7440 29.3628
angles: 90.00 90.00 120.00
Space group R3m (No. 160, hexagonal axes)
Symmetry-distinct sites (fractional):
Pm 0.0000 0.0000 0.0000 (multiplicity 3)
Er 0.0000 0.0000 0.5662 (multiplicity 3)
Er 0.0000 0.0000 0.7643 (multiplicity 3)
Au 0.0000 0.0000 0.1646 (multiplicity 3)

Output
Calculated formation energy (eV/atom): -0.300


2.
Here is crystalline YRu2Cl at its relaxed geometry from Alexandria. Energies are from PBE-GGA.

abc: 3.174 4.827 9.249
angles: 90.00 90.00 90.00
Space group Imm2 (No. 44)
Symmetry-distinct sites (fractional):
Y 0.000 0.000 0.000 (multiplicity 2)
Ru 0.000 0.000 0.480 (multiplicity 2)
Ru 0.000 0.500 0.205 (multiplicity 2)
Cl 0.000 0.500 0.754 (multiplicity 2)

Output
E_form (uncorrected) (eV per atom): 0.24


3.
Here is crystalline Ac2BAs at its relaxed geometry from Alexandria. Energies are from PBE-GGA.

abc: 4.3823 4.3823 21.7428
angles: 90.00 90.00 120.00
Space group R-3m (No. 166, hexagonal axes)
Symmetry-distinct sites (fractional):
Ac 0.0000 0.0000 0.2448 (multiplicity 6)
B 0.0000 0.0000 0.5000 (multiplicity 3)
As 0.0000 0.0000 0.0000 (multiplicity 3)

Output
Calculated formation energy (eV/atom): -0.340


4.
Here is crystalline Sc2Bi2Br at its relaxed geometry from Alexandria. Energies are from PBE-GGA.

abc: 7.890 7.890 4.208
angles: 90.00 90.00 90.00
Space group P4/mbm (No. 127)
Symmetry-distinct sites (fractional):
Sc 0.161 0.339 0.000 (multiplicity 4)
Bi 0.141 0.641 0.500 (multiplicity 4)
Br 0.000 0.000 0.000 (multiplicity 2)

Output
E_form (uncorrected) (eV per atom): -0.65


5.
Here is crystalline Li3SnO at its relaxed geometry from Alexandria. Energies are from PBE-GGA.

abc: 5.063 5.281 6.275
angles: 80.77 89.25 89.62
Space group P1 (No. 1)
Symmetry-distinct sites (fractional):
Li 0.000 0.000 0.000 (multiplicity 1)
Li 0.039 0.465 0.146 (multiplicity 1)
Li 0.308 0.044 0.372 (multiplicity 1)
Li 0.521 0.959 0.956 (multiplicity 1)
Li 0.564 0.436 0.136 (multiplicity 1)
Li 0.813 0.681 0.744 (multiplicity 1)
Sn 0.306 0.444 0.689 (multiplicity 1)
Sn 0.803 0.201 0.554 (multiplicity 1)
O 0.290 0.205 0.067 (multiplicity 1)
O 0.786 0.709 0.037 (multiplicity 1)

Output
E_form (uncorrected) (eV per atom): -1.02


6.
Here is crystalline AlTc2P at its relaxed geometry from Alexandria. Energies are from PBE-GGA.

abc: 3.068 3.898 4.723
angles: 90.00 90.00 90.00
Space group Pmmm (No. 47)
Symmetry-distinct sites (fractional):
Al 0.000 0.000 0.000 (multiplicity 1)
Tc 0.000 0.500 0.500 (multiplicity 1)
Tc 0.500 0.500 0.000 (multiplicity 1)
P 0.500 0.000 0.500 (multiplicity 1)

Output
Calculated formation energy (eV/atom): -0.036


7.
Here is crystalline Mg2CdCl at its relaxed geometry from Alexandria. Energies are from PBE-GGA.

abc: 3.307 4.813 5.941
angles: 90.00 90.00 90.00
Space group Pmm2 (No. 25)
Symmetry-distinct sites (fractional):
Mg 0.000 0.000 0.000 (multiplicity 1)
Mg 0.500 0.500 0.418 (multiplicity 1)
Cd 0.000 0.000 0.505 (multiplicity 1)
Cl 0.500 0.500 0.991 (multiplicity 1)

Output
E_form (uncorrected) (eV per atom): -0.39


8.
Here is crystalline Th3Sb2Rh7 at its relaxed geometry from Alexandria. Energies are from PBE-GGA.

abc: 4.567 23.274 4.612
angles: 90.00 90.00 90.00
Space group Cmmm (No. 65)
Symmetry-distinct sites (fractional):
Th 0.000 0.000 0.000 (multiplicity 2)
Th 0.000 0.165 0.000 (multiplicity 4)
Sb 0.000 0.352 0.500 (multiplicity 4)
Rh 0.000 0.078 0.500 (multiplicity 4)
Rh 0.000 0.221 0.500 (multiplicity 4)
Rh 0.000 0.413 0.000 (multiplicity 4)
Rh 0.000 0.500 0.500 (multiplicity 2)

Output
E_form (uncorrected) (eV per atom): -0.70


| no. | energy (eV for the cell shown) |
| --- | --- |
| 1 | -55.06 |
| 2 | -51.80 |
| 3 | -62.71 |
| 4 | -50.73 |
| 5 | -39.56 |
| 6 | -30.03 |
| 7 | -7.52 |
| 8 | -180.75 |